(1)
GdRhS GGA-PBE optimized geometry; energy relative to the elements, uncorrected = -1279 meV per atom; theoretical density = 8.8 g/cm³; density of states at the Fermi level = 0.66 states/eV/cell; space group = P-6m2, No. 187; total magnetization = 7.00 μB/f.u.; crystal system = hexagonal
1.0
-0.938 -1.804 -3.054
2.346 -3.235 1.191
-4.013 0.190 1.120
S Gd Rh
1 1 1
direct
0.167 0.000 0.000 S
0.667 0.667 0.333 Gd
0.167 0.333 0.667 Rh

=====

(2)
Cu6PdN2 GGA-PBE optimized geometry; energy relative to the elements, uncorrected = 188 meV per atom; theoretical density = 7.5 g/cm³; density of states at the Fermi level = 1.65 states/eV/cell; space group = P4/mmm, No. 123; total magnetization = 0.00 μB/f.u.; crystal system = tetragonal
1.0
3.846 0.000 0.000
0.000 3.846 0.000
0.000 0.000 7.755
Cu Pd N
6 1 2
direct
0.000 0.500 0.752 Cu
0.000 0.500 0.248 Cu
0.500 0.000 0.752 Cu
0.500 0.000 0.248 Cu
0.000 0.000 0.000 Cu
0.000 0.000 0.500 Cu
0.500 0.500 0.000 Pd
0.000 0.000 0.743 N
0.000 0.000 0.257 N

=====

(3)
Ba2ScIn GGA-PBE optimized geometry; calculated formation energy = 0.05 eV/atom; theoretical density = 4.9 g/cm³; density of states at the Fermi level = 2.90 states/eV/cell; space group = I4/mmm, No. 139; total magnetization = 0.00 μB/f.u.; crystal system = tetragonal
1.0
6.447 0.002 -0.004
2.134 6.083 0.004
-4.289 -3.045 3.727
Ba In Sc
2 1 1
direct
0.000 0.000 0.000 Ba
0.500 0.500 0.000 Ba
0.750 0.250 0.500 In
0.250 0.750 0.500 Sc

=====

(4)
Pm2Sc3Ge4 GGA-PBE optimized geometry; calculated formation energy = -0.90 eV/atom; theoretical density = 6.0 g/cm³; energy above the lowest structure with this stoichiometry = 0.0 meV/atom; density of states at the Fermi level = 13.49 states/eV/cell; space group = P2_1/c, No. 14; total magnetization = 0.00 μB/f.u.; crystal system = monoclinic
1.0
-4.272 5.901 -0.771
2.111 -2.470 -6.821
-6.122 -4.468 -0.277
Pm Sc Ge
4 6 8
direct
0.568 0.194 0.325 Pm
0.932 0.806 0.825 Pm
0.432 0.806 0.675 Pm
0.068 0.194 0.175 Pm
0.000 0.500 0.500 Sc
0.500 0.500 0.000 Sc
0.749 0.250 0.830 Sc
0.751 0.750 0.330 Sc
0.251 0.750 0.170 Sc
0.249 0.250 0.670 Sc
0.857 0.083 0.542 Ge
0.643 0.917 0.042 Ge
0.143 0.917 0.458 Ge
0.357 0.083 0.958 Ge
0.864 0.496 0.131 Ge
0.636 0.504 0.631 Ge
0.136 0.504 0.869 Ge
0.364 0.496 0.369 Ge

=====

(5)
GaSiAs2 GGA-PBE optimized geometry; energy relative to the elements, uncorrected = 11 meV per atom; theoretical density = 4.3 g/cm³; energy above the lowest structure with this stoichiometry = 0.0 meV/atom; density of states at the Fermi level = 4.77 states/eV/cell; space group = I-42d, No. 122; total magnetization = 0.00 μB/f.u.; crystal system = tetragonal
1.0
-5.244 1.800 1.145
-1.641 -1.462 -5.217
-4.876 -5.260 -0.064
As Si Ga
4 2 2
direct
0.612 0.125 0.250 As
0.138 0.625 0.250 As
0.375 0.388 0.750 As
0.875 0.862 0.750 As
0.500 0.500 0.000 Si
0.250 0.750 0.500 Si
0.000 0.000 0.000 Ga
0.750 0.250 0.500 Ga

=====

(6)
ZnCoRe4 GGA-PBE optimized geometry; calculated formation energy = 0.67 eV/atom; theoretical density = 15.0 g/cm³; density of states at the Fermi level = 5.71 states/eV/cell; space group = F-43m, No. 216; total magnetization = 1.83 μB/f.u.; crystal system = cubic
1.0
0.000 3.636 3.636
3.636 0.000 3.636
3.636 3.636 0.000
Zn Co Re
1 1 4
direct
0.250 0.250 0.250 Zn
0.000 0.000 0.000 Co
0.625 0.625 0.125 Re
0.625 0.125 0.625 Re
0.625 0.625 0.625 Re
0.125 0.625 0.625 Re

=====

(7)
Th2GePPt6 GGA-PBE optimized geometry; calculated formation energy = -0.94 eV/atom; theoretical density = 14.4 g/cm³; density of states at the Fermi level = 9.22 states/eV/cell; space group = Pmmn, No. 59; total magnetization = 0.00 μB/f.u.; crystal system = orthorhombic
1.0
-3.317 4.288 1.084
0.029 -2.127 8.505
6.596 4.805 1.179
Th Ge P Pt
4 2 2 12
direct
0.500 0.738 0.252 Th
0.000 0.262 0.752 Th
0.500 0.738 0.748 Th
0.000 0.262 0.248 Th
0.000 0.724 0.500 Ge
0.500 0.276 0.000 Ge
0.500 0.275 0.500 P
0.000 0.725 0.000 P
0.500 0.129 0.264 Pt
0.500 0.129 0.736 Pt
0.000 0.871 0.236 Pt
0.000 0.871 0.764 Pt
0.253 0.977 0.500 Pt
0.747 0.977 0.500 Pt
0.251 0.490 0.500 Pt
0.749 0.490 0.500 Pt
0.751 0.510 0.000 Pt
0.249 0.510 0.000 Pt
0.247 0.023 0.000 Pt
0.753 0.023 0.000 Pt

=====

(8)
PrDy5Tl8 GGA-PBE optimized geometry; calculated formation energy = -0.25 eV/atom; theoretical density = 10.6 g/cm³; density of states at the Fermi level = 11.06 states/eV/cell; space group = I-4, No. 82; total magnetization = 0.00 μB/f.u.; crystal system = tetragonal
1.0
8.076 -0.023 0.039
-2.754 7.592 -0.039
-2.568 -3.850 6.618
Pr Dy Tl
1 5 8
direct
0.250 0.500 0.750 Pr
0.018 0.372 0.126 Dy
0.874 0.892 0.246 Dy
0.754 0.628 0.647 Dy
0.500 0.000 0.500 Dy
0.353 0.108 0.982 Dy
0.123 0.750 0.050 Tl
0.950 0.073 0.700 Tl
0.776 0.256 0.362 Tl
0.638 0.414 0.894 Tl
0.480 0.586 0.224 Tl
0.627 0.927 0.877 Tl
0.300 0.250 0.373 Tl
0.106 0.744 0.520 Tl

=====

(9)
SrZnNi2 GGA-PBE optimized geometry; calculated formation energy = 0.27 eV/atom; theoretical density = 6.4 g/cm³; density of states at the Fermi level = 2.07 states/eV/cell; space group = C2/m, No. 12; total magnetization = 0.00 μB/f.u.; crystal system = monoclinic
1.0
7.190 0.112 0.244
-2.703 3.410 0.058
1.784 1.344 2.927
Ni Sr Zn
2 1 1
direct
0.000 0.000 0.000 Ni
0.500 0.000 0.500 Ni
0.000 0.500 0.500 Sr
0.500 0.500 0.000 Zn

=====

(10)
Y2GeB2Ir5 GGA-PBE optimized geometry; calculated formation energy = -0.68 eV/atom; theoretical density = 13.9 g/cm³; density of states at the Fermi level = 6.44 states/eV/cell; space group = P4/mbm, No. 127; total magnetization = 0.00 μB/f.u.; crystal system = tetragonal
1.0
3.262 0.000 0.000
0.000 9.495 0.000
0.000 0.000 9.495
Y Ge B Ir
4 2 4 10
direct
0.000 0.677 0.177 Y
0.000 0.323 0.823 Y
0.000 0.177 0.323 Y
0.000 0.823 0.677 Y
0.000 0.000 0.000 Ge
0.000 0.500 0.500 Ge
0.000 0.122 0.622 B
0.000 0.878 0.378 B
0.000 0.622 0.878 B
0.000 0.378 0.122 B
0.500 0.219 0.069 Ir
0.500 0.781 0.931 Ir
0.500 0.069 0.781 Ir
0.500 0.719 0.431 Ir
0.500 0.931 0.219 Ir
0.500 0.281 0.569 Ir
0.500 0.569 0.719 Ir
0.500 0.431 0.281 Ir
0.500 0.500 0.000 Ir
0.500 0.000 0.500 Ir

=====

(11)
NaCaTlCl4 GGA-PBE optimized geometry; energy relative to the elements, uncorrected = -1819 meV per atom; theoretical density = 3.0 g/cm³; density of states at the Fermi level = 0.00 states/eV/cell; space group = Imma, No. 74; total magnetization = 0.00 μB/f.u.; crystal system = orthorhombic
1.0
-0.488 3.296 -8.261
-3.234 -7.811 1.877
-3.882 6.856 2.964
Na Ca Tl Cl
2 2 2 8
direct
0.500 0.500 0.500 Na
0.000 0.500 0.500 Na
0.500 0.000 0.500 Ca
0.500 0.000 0.000 Ca
0.873 0.746 0.123 Tl
0.127 0.254 0.877 Tl
0.724 0.447 0.693 Cl
0.305 0.019 0.260 Cl
0.714 0.019 0.260 Cl
0.724 0.447 0.254 Cl
0.276 0.553 0.746 Cl
0.695 0.981 0.740 Cl
0.286 0.981 0.740 Cl
0.276 0.553 0.307 Cl

=====

(12)
LuZrCdCu GGA-PBE optimized geometry; calculated formation energy = -0.08 eV/atom; theoretical density = 8.7 g/cm³; density of states at the Fermi level = 4.31 states/eV/cell; space group = F-43m, No. 216; total magnetization = 0.89 μB/f.u.; crystal system = cubic
1.0
4.919 0.000 0.000
2.460 4.260 0.000
2.460 1.420 4.016
Lu Cu Zr Cd
1 1 1 1
direct
0.000 0.000 0.000 Lu
0.750 0.750 0.750 Cu
0.500 0.500 0.500 Zr
0.250 0.250 0.250 Cd

=====

(13)
YAl11Re GGA-PBE optimized geometry; calculated formation energy = -0.20 eV/atom; theoretical density = 4.3 g/cm³; density of states at the Fermi level = 5.84 states/eV/cell; space group = C2/m, No. 12; total magnetization = 0.00 μB/f.u.; crystal system = monoclinic
1.0
-0.590 -3.652 -3.769
6.247 -2.797 -1.892
-0.956 -6.314 2.567
Y Al Re
1 11 1
direct
0.000 0.000 0.000 Y
0.286 0.221 0.216 Al
0.714 0.779 0.784 Al
0.499 0.779 0.216 Al
0.501 0.221 0.784 Al
0.365 0.641 0.653 Al
0.635 0.359 0.347 Al
0.981 0.359 0.653 Al
0.019 0.641 0.347 Al
0.000 0.500 0.000 Al
0.500 0.000 0.500 Al
0.000 0.000 0.500 Al
0.500 0.500 0.000 Re

=====

(14)
AlAgPb GGA-PBE optimized geometry; calculated formation energy = 0.08 eV/atom; theoretical density = 8.1 g/cm³; density of states at the Fermi level = 2.24 states/eV/cell; space group = P1, No. 1; total magnetization = 0.00 μB/f.u.; crystal system = triclinic
1.0
-0.276 9.114 -5.159
-5.064 4.434 2.483
-2.473 -1.338 6.423
Pb Al Ag
2 2 2
direct
0.335 0.811 0.283 Pb
0.245 0.022 0.603 Pb
0.840 0.969 0.792 Al
0.360 0.414 0.831 Al
0.736 0.867 0.084 Ag
0.208 0.438 0.027 Ag

=====

(15)
LiFeS2Cl GGA-PBE optimized geometry; energy relative to the elements, uncorrected = -277 meV per atom; theoretical density = 2.7 g/cm³; energy above the lowest structure with this stoichiometry = 0.0 meV/atom; density of states at the Fermi level = 4.36 states/eV/cell; space group = P4/mmm, No. 123; total magnetization = 0.00 μB/f.u.; crystal system = tetragonal
1.0
4.246 0.000 0.000
0.000 4.246 0.000
0.000 0.000 5.573
S Li Fe Cl
2 1 1 1
direct
0.000 0.500 0.000 S
0.500 0.000 0.000 S
0.500 0.500 0.500 Li
0.000 0.000 0.000 Fe
0.000 0.000 0.500 Cl

=====

(16)
Pm7Pr2Y3 GGA-PBE optimized geometry; calculated formation energy = 0.08 eV/atom; theoretical density = 6.3 g/cm³; energy above the lowest structure with this stoichiometry = 0.0 meV/atom; density of states at the Fermi level = 16.56 states/eV/cell; space group = P2/m, No. 10; total magnetization = 0.00 μB/f.u.; crystal system = monoclinic
1.0
-2.570 -1.419 -2.187
2.561 -5.328 0.448
-11.348 -2.815 15.162
Pm Pr Y
7 2 3
direct
0.500 0.742 0.464 Pm
0.500 0.258 0.536 Pm
0.000 0.678 0.143 Pm
0.000 0.000 0.000 Pm
0.000 0.322 0.857 Pm
0.500 0.821 0.823 Pm
0.500 0.179 0.177 Pm
0.500 0.706 0.296 Pr
0.500 0.294 0.704 Pr
0.500 0.500 0.000 Y
0.000 0.219 0.369 Y
0.000 0.781 0.631 Y

=====

(17)
MgZnCuRu GGA-PBE optimized geometry; calculated formation energy = -0.02 eV/atom; theoretical density = 7.5 g/cm³; energy above the lowest structure with this stoichiometry = 70.7 meV/atom; density of states at the Fermi level = 1.03 states/eV/cell; space group = F-43m, No. 216; total magnetization = 0.00 μB/f.u.; crystal system = cubic
1.0
-0.327 -2.287 -3.638
-2.755 -3.306 -0.227
-3.545 0.313 -2.430
Ru Zn Mg Cu
1 1 1 1
direct
0.500 0.500 0.500 Ru
0.750 0.750 0.750 Zn
0.250 0.250 0.250 Mg
0.000 0.000 0.000 Cu

=====

(18)
LaZrOs GGA-PBE optimized geometry; calculated formation energy = 0.06 eV/atom; theoretical density = 9.1 g/cm³; energy above the lowest structure with this stoichiometry = 333.0 meV/atom; density of states at the Fermi level = 2.51 states/eV/cell; space group = P3m1, No. 156; total magnetization = 0.00 μB/f.u.; crystal system = trigonal
1.0
-3.647 2.383 -0.455
0.429 -2.718 3.408
1.911 3.395 2.467
La Os Zr
1 1 1
direct
0.000 0.000 0.045 La
0.667 0.333 0.397 Os
0.333 0.667 0.559 Zr

=====

(19)
Ta3CdPt GGA-PBE optimized geometry; calculated formation energy = 1.11 eV/atom; theoretical density = 12.0 g/cm³; energy above the lowest structure with this stoichiometry = 0.0 meV/atom; density of states at the Fermi level = 12.57 states/eV/cell; space group = Pm-3m, No. 221; total magnetization = 0.00 μB/f.u.; crystal system = cubic
1.0
-0.687 0.790 -4.793
-3.964 -2.889 0.091
-2.808 3.886 1.043
Cd Pt Ta
1 1 3
direct
0.500 0.500 0.500 Cd
0.000 0.000 0.000 Pt
0.000 0.500 0.000 Ta
0.000 0.000 0.500 Ta
0.500 0.000 0.000 Ta

=====

(20)
InAgRh2 GGA-PBE optimized geometry; calculated formation energy = 0.04 eV/atom; theoretical density = 10.7 g/cm³; density of states at the Fermi level = 2.91 states/eV/cell; space group = Immm, No. 71; total magnetization = 0.00 μB/f.u.; crystal system = orthorhombic
1.0
-1.524 2.381 4.582
1.524 -2.381 4.582
1.524 2.381 -4.582
In Ag Rh
1 1 2
direct
0.500 0.000 0.500 In
0.000 0.500 0.500 Ag
0.741 0.741 0.000 Rh
0.259 0.259 0.000 Rh

=====

(21)
Ba3Tl3Sn2 GGA-PBE optimized geometry; calculated formation energy = -0.48 eV/atom; theoretical density = 7.2 g/cm³; energy above the lowest structure with this stoichiometry = 0.0 meV/atom; density of states at the Fermi level = 6.54 states/eV/cell; space group = Cmcm, No. 63; total magnetization = 0.00 μB/f.u.; crystal system = orthorhombic
1.0
5.013 0.000 0.000
-2.507 6.621 0.000
0.000 0.000 17.662
Ba Tl Sn
6 6 4
direct
0.936 0.871 0.396 Ba
0.064 0.129 0.896 Ba
0.936 0.871 0.104 Ba
0.064 0.129 0.604 Ba
0.657 0.315 0.250 Ba
0.343 0.685 0.750 Ba
0.638 0.277 0.463 Tl
0.362 0.723 0.963 Tl
0.638 0.277 0.037 Tl
0.362 0.723 0.537 Tl
0.384 0.769 0.250 Tl
0.616 0.231 0.750 Tl
0.767 0.534 0.886 Sn
0.233 0.466 0.386 Sn
0.767 0.534 0.614 Sn
0.233 0.466 0.114 Sn

=====

(22)
Sr3SnP3 GGA-PBE optimized geometry; calculated formation energy = -0.86 eV/atom; theoretical density = 4.0 g/cm³; energy above the lowest structure with this stoichiometry = 0.0 meV/atom; density of states at the Fermi level = 4.74 states/eV/cell; space group = Pnma, No. 62; total magnetization = 0.00 μB/f.u.; crystal system = orthorhombic
1.0
4.681 0.000 0.000
0.000 12.487 0.000
0.000 0.000 13.625
Sr Sn P
12 4 12
direct
0.750 0.723 0.790 Sr
0.250 0.777 0.290 Sr
0.250 0.277 0.210 Sr
0.750 0.223 0.710 Sr
0.750 0.147 0.003 Sr
0.250 0.353 0.503 Sr
0.250 0.853 0.997 Sr
0.750 0.647 0.497 Sr
0.750 0.935 0.606 Sr
0.250 0.565 0.106 Sr
0.250 0.065 0.394 Sr
0.750 0.435 0.894 Sr
0.750 0.951 0.195 Sn
0.250 0.549 0.695 Sn
0.250 0.049 0.805 Sn
0.750 0.451 0.305 Sn
0.750 0.963 0.846 P
0.250 0.537 0.346 P
0.250 0.037 0.154 P
0.750 0.463 0.654 P
0.750 0.897 0.384 P
0.250 0.603 0.884 P
0.250 0.103 0.616 P
0.750 0.397 0.116 P
0.750 0.755 0.121 P
0.250 0.745 0.621 P
0.250 0.245 0.879 P
0.750 0.255 0.379 P